Material: RbCrWO6
Method: DFT, PBE+U
State: relaxed

Cell lengths 5.1476, 5.1257, 6.3477 Å; angles 88.97, 91.03, 62.31 degrees
Atoms (fractional coordinates):
Rb  0.0010  0.9963  0.0039
O  0.9893  0.3981  0.3286
O  0.9939  0.6185  0.6672
O  0.6023  0.9920  0.3351
O  0.6063  0.4143  0.6775
O  0.4170  0.5767  0.3179
Cr  0.6779  0.6664  0.4691
W  0.3258  0.3409  0.5293
O  0.3863  0.9970  0.6714

Properties
**E**: -6.744 eV per atom
**Symmetry**: P1 (1)